Material: HfMg2Ni2
Method: DFT, PBE-GGA
State: relaxed

Distance to the lowest polymorph of the same formula ... 0 meV per atom
Uncorrected energy ... -5.09 eV per atom

The structure in CIF format:
```
data_HfMg2Ni2
_chemical_formula_sum 'Hf2 Mg4 Ni4'
_space_group_name_H-M_alt 'P 4/m b m'
_space_group_IT_number 127
_space_group_name_Hall '-P 4 2ab'
_cell_length_a 6.531
_cell_length_b 6.531
_cell_length_c 3.954
_cell_angle_alpha 90.00
_cell_angle_beta 90.00
_cell_angle_gamma 90.00
loop_
_atom_site_label
_atom_site_type_symbol
_atom_site_fract_x
_atom_site_fract_y
_atom_site_fract_z
_atom_site_occupancy
Hf1 Hf 0.000 0.000 0.000 1
Mg1 Mg 0.166 0.334 0.500 1
Ni1 Ni 0.129 0.629 0.000 1
```